Record 1
VASP calculation (GGA-PBE) on an optimized crystal structure of CrReOs.

abc: 2.7302 4.7281 6.6276
angles: 103.82 90.07 90.05
Closest atoms and distances in Å follow each position.
Space group P-1 (No. 2)
Symmetry-distinct sites (fractional):
Cr  0.2487  0.2545  0.0026 [2 per cell]  3 Re 2.61-2.63, 3 Os 2.61-2.63, 6 Cr 2.70-2.76
Re  0.2504  0.0256  0.3235 [2 per cell]  3 Cr 2.61-2.63, 5 Os 2.72-2.75, 4 Re 2.73-2.77
Os  0.2502  0.4750  0.6735 [2 per cell]  3 Cr 2.61-2.63, 5 Re 2.72-2.75, 4 Os 2.73

Properties
Spin magnetization   0.0 μB per cell
DOS(E_F)   2.5 states/eV/f.u.
DFT formation energy   7 kJ per mole of atoms
Energy above the most stable polymorph in this dataset   0 meV per atom
Volume   13.8 Å³ per atom

Record 2
VASP calculation (GGA-PBE) on an optimized crystal structure of MgZr3Be.

abc: 4.7919 4.7919 4.7919
angles: 90.00 90.00 90.00
Closest atoms and distances in Å follow each position.
Space group Pm-3m (No. 221)
Symmetry-distinct sites (fractional):
Mg  0.0000  0.0000  0.0000 [1 per cell]  12 Zr 3.39
Zr  0.0000  0.5000  0.5000 [3 per cell]  2 Be 2.40
Be  0.5000  0.5000  0.5000 [1 per cell]  6 Zr 2.40

Properties
Spin magnetization   0.0 μB per cell
DOS(E_F)   4.0 states/eV/f.u.
DFT formation energy   25 kJ per mole of atoms
Energy above the most stable polymorph in this dataset   0 meV per atom
Volume   22.0 Å³ per atom

Record 3
VASP calculation (GGA-PBE) on an optimized crystal structure of La2ReNi.

abc: 4.2201 4.2201 9.7674
angles: 90.00 90.00 90.00
Closest atoms and distances in Å follow each position.
Space group I-4m2 (No. 119)
Symmetry-distinct sites (fractional):
La  0.0000  0.0000  0.0000 [2 per cell]  4 Re 2.98, 4 La 3.23, 4 Ni 3.23
La  0.0000  0.5000  0.2500 [2 per cell]  4 Ni 2.98, 4 La 3.23, 4 Re 3.23
Re  0.0000  0.0000  0.5000 [2 per cell]  8 La 2.98-3.23, 4 Ni 3.23
Ni  0.0000  0.5000  0.7500 [2 per cell]  8 La 2.98-3.23, 4 Re 3.23

Properties
Spin magnetization   0.0 μB per cell
DOS(E_F)   4.3 states/eV/f.u.
DFT formation energy   37 kJ per mole of atoms
Energy above the most stable polymorph in this dataset   324 meV per atom
Volume   21.7 Å³ per atom